Density functional theory data (PBE-GGA) for crystalline Ta2CuTe at its relaxed geometry.

ΔE_f (raw), eV/atom: 0.285
Magnetization, μB/f.u.: 0.0
Calculated density, g cm⁻³: 11.89
DOS(E_F), states/eV/atom: 0.74

Cell and atoms, written as POSCAR:
```
Ta2CuTe
1.0
-2.006 -1.033 2.050
2.409 -1.867 0.082
3.665 4.996 6.104
Te Cu Ta
1 1 2
Direct
0.000 0.000 0.494
0.500 0.500 0.777
0.000 0.000 0.994
0.500 0.500 0.235
```

---

Density functional theory data (PBE-GGA) for crystalline Al2TcNiBi at its relaxed geometry.

Magnetization, μB/f.u.: 3.6
Calculated density, g cm⁻³: 4.64
DOS(E_F), states/eV/atom: 1.15
ΔH_f (0 K), eV per atom: 1.9228

Cell and atoms, written as POSCAR:
```
Al2TcNiBi
1.0
5.363 0.000 0.000
0.000 5.363 0.000
0.000 0.000 5.220
Ni Al Tc Bi
1 2 1 1
Direct
0.500 0.500 0.500
0.500 0.000 0.000
0.000 0.500 0.000
0.000 0.000 0.500
0.000 0.000 0.000
```

---

What did the first record say?
Density functional theory data (PBE-GGA) for crystalline Ta2CuTe at its relaxed geometry.

ΔE_f (raw), eV/atom: 0.285
Magnetization, μB/f.u.: 0.0
Calculated density, g cm⁻³: 11.89
DOS(E_F), states/eV/atom: 0.74

Cell and atoms, written as POSCAR:
```
Ta2CuTe
1.0
-2.006 -1.033 2.050
2.409 -1.867 0.082
3.665 4.996 6.104
Te Cu Ta
1 1 2
Direct
0.000 0.000 0.494
0.500 0.500 0.777
0.000 0.000 0.994
0.500 0.500 0.235
```